[1]
Compound: YSc2Zn
Source: Alexandria via LeMat-Bulk
Functional: GGA-PBEsol
Structure: relaxed

Values from the calculation:
- formation enthalpy at 0 K (eV per atom) = -0.146
- total energy (eV/atom) = -5.550

Unit cell a=3.355 b=3.355 c=8.068 alpha=90.00 beta=90.00 gamma=90.00
Fractional positions:
Zn: 0.500 0.500 0.772
Sc: 0.000 0.000 0.962
Sc: 0.500 0.500 0.232
Y: 0.000 0.000 0.534

---

[2]
Compound: CrB2S
Source: Alexandria via LeMat-Bulk
Functional: GGA-PBEsol
Structure: relaxed

Values from the calculation:
- formation energy without anion corrections (eV/f.u.) = 2.6
- total energy (eV/atom) = -6.512

Unit cell a=5.074 b=5.006 c=5.074 alpha=59.55 beta=90.00 gamma=120.45
Fractional positions:
B: 0.875 0.250 0.583
B: 0.375 0.250 0.167
B: 0.167 0.750 0.875
B: 0.583 0.750 0.375
S: 0.500 0.000 0.500
S: 0.250 0.500 0.250
Cr: 0.000 0.000 0.000
Cr: 0.750 0.500 0.750

---

[3]
Compound: ZrFe3Hg
Source: Alexandria via LeMat-Bulk
Functional: GGA-PBEsol
Structure: relaxed

Values from the calculation:
- formation enthalpy at 0 K (eV per atom) = 1.483
- total energy (eV/atom) = -5.826

Unit cell a=4.498 b=4.498 c=4.498 alpha=90.00 beta=90.00 gamma=90.00
Fractional positions:
Fe: 0.000 0.000 0.500
Fe: 0.000 0.500 0.000
Fe: 0.500 0.000 0.000
Zr: 0.000 0.000 0.000
Hg: 0.500 0.500 0.500

---

[4]
Compound: LiMgHg
Source: Alexandria via LeMat-Bulk
Functional: GGA-PBEsol
Structure: relaxed

Values from the calculation:
- formation enthalpy at 0 K (eV per atom) = -0.289
- total energy (eV/atom) = -1.706

Unit cell a=3.070 b=4.623 c=4.623 alpha=120.00 beta=90.00 gamma=90.00
Fractional positions:
Hg: 0.903 0.000 0.000
Li: 0.762 0.333 0.667
Mg: 0.335 0.667 0.333

---

[5]
Compound: NdInNi2
Source: Alexandria via LeMat-Bulk
Functional: GGA-PBEsol
Structure: relaxed

Values from the calculation:
- formation enthalpy at 0 K (eV per atom) = -0.432
- total energy (eV/atom) = -5.549

Unit cell a=3.996 b=5.120 c=7.057 alpha=90.00 beta=90.00 gamma=90.00
Fractional positions:
Ni: 0.000 0.750 0.894
Ni: 0.500 0.000 0.000
Ni: 0.000 0.250 0.106
Ni: 0.500 0.500 0.000
Nd: 0.000 0.750 0.274
Nd: 0.000 0.250 0.726
In: 0.500 0.250 0.344
In: 0.500 0.750 0.656

---

[6]
Compound: CsMo2Os
Source: Alexandria via LeMat-Bulk
Functional: GGA-PBEsol
Structure: relaxed

Values from the calculation:
- formation enthalpy at 0 K (eV per atom) = 1.675
- total energy (eV/atom) = -7.498

Unit cell a=4.606 b=4.606 c=4.606 alpha=60.00 beta=60.00 gamma=60.00
Fractional positions:
Os: 0.500 0.500 0.500
Mo: 0.250 0.250 0.250
Mo: 0.750 0.750 0.750
Cs: 0.000 0.000 0.000

---

[7]
Compound: SrTl2Te
Source: Alexandria via LeMat-Bulk
Functional: GGA-PBEsol
Structure: relaxed

Values from the calculation:
- formation energy without anion corrections (eV/f.u.) = -2.4
- total energy (eV/atom) = -3.251

Unit cell a=4.883 b=4.857 c=6.107 alpha=113.43 beta=113.56 gamma=90.00
Fractional positions:
Tl: 0.750 0.250 0.500
Tl: 0.001 0.001 0.002
Sr: 0.500 0.500 0.999
Te: 0.250 0.750 0.499

---

[8]
Compound: CoBiSe2
Source: Alexandria via LeMat-Bulk
Functional: GGA-PBEsol
Structure: relaxed

Values from the calculation:
- formation energy without anion corrections (eV/f.u.) = -1.1
- total energy (eV/atom) = -5.210

Unit cell a=3.500 b=3.500 c=8.484 alpha=78.10 beta=78.10 gamma=60.00
Fractional positions:
Co: 0.500 0.500 0.500
Se: 0.881 0.881 0.356
Se: 0.119 0.119 0.644
Bi: 0.000 0.000 0.000